Density functional theory data (GGA-PBE) for Pm2PrTe after structural relaxation.

Summary:
E_form (uncorrected)	-12.2	kcal/mol of atoms
volume	29.67	Å³/atom
relative energy among the computed polymorphs	165	meV per atom

Cell lengths 4.9078, 4.9078, 4.9269 Å; angles 90.00, 90.00, 90.00 degrees
Last column: nearest neighbours and their distance in Å.
Fractional coordinates of all 4 atoms:
Pm 0.0000 0.5000 0.0000  4 Pm 3.47, 4 Pr 3.48, 4 Te 3.48
Pm 0.5000 0.0000 0.0000  4 Pm 3.47, 4 Pr 3.48, 4 Te 3.48
Pr 0.0000 0.0000 0.5000  4 Te 3.47, 8 Pm 3.48
Te 0.5000 0.5000 0.5000  4 Pr 3.47, 8 Pm 3.48